Below is a relaxed structure of CrRh, with properties calculated at the PBE level.

Cell and atoms, written as POSCAR:
```
CrRh
1.0
2.194 -3.801 0.000
2.194 3.801 0.000
0.000 0.000 6.855
Rh Cr
4 4
Cartesian
2.194 1.267 5.142
0.000 0.000 1.714
0.000 0.000 5.142
2.194 -1.267 1.714
2.194 1.267 0.713
2.194 1.267 2.715
2.194 -1.267 6.143
2.194 -1.267 4.141
```

Properties
ΔE_f = 416 meV/atom
Fermi-level density of states = 1.398 states/eV per atom

***

Below is a relaxed structure of SrSi2TeO8, with properties calculated at the PBE level.

Cell and atoms, written as POSCAR:
```
SrSi2TeO8
1.0
-4.331 1.629 1.301
-3.243 -3.018 1.863
0.271 1.083 8.425
O Si Te Sr
8 2 1 1
Cartesian
-3.494 0.378 2.515
-3.052 2.050 8.214
-1.364 0.179 4.115
-1.115 -0.178 7.947
-3.809 -0.684 9.075
-4.251 -2.355 3.375
-5.939 -0.485 7.475
-6.188 -0.128 3.642
-1.917 -0.127 2.655
-5.386 -0.179 8.934
0.000 0.000 0.000
-3.651 -0.153 5.795
```

Properties
formation energy from raw total energies = -207 kJ per mole of atoms
Fermi-level density of states = 0.000 states/eV per atom

***

Below is a relaxed structure of PmPrTm2Bi4, with properties calculated at the PBE level.

Cell and atoms, written as POSCAR:
```
PmPrTm2Bi4
1.0
-0.131 -1.658 4.213
-2.879 -6.737 -2.741
5.903 -4.860 -1.730
Tm Bi Pr Pm
2 4 1 1
Cartesian
2.886 -3.259 1.242
5.903 -4.860 -1.730
-0.795 -7.164 -0.409
0.697 -4.501 3.120
3.688 -6.091 0.152
2.196 -8.754 -3.377
4.398 -9.058 -0.993
1.512 -5.798 -2.235
```

Properties
ΔE_f = -861 meV/atom
Fermi-level density of states = 0.155 states/eV per atom

***

Below is a relaxed structure of Pt3C4, with properties calculated at the PBE level.

Cell and atoms, written as POSCAR:
```
Pt3C4
1.0
-3.401 1.532 -2.244
-2.474 -0.262 3.572
1.122 4.066 1.075
Pt C
3 4
Cartesian
0.561 2.033 0.538
-1.237 -0.131 1.786
-1.700 0.766 -1.122
-1.139 2.799 -0.584
-0.676 1.902 2.323
0.000 0.000 0.000
-2.938 0.635 0.664
```

Properties
ΔE_f = 1882 meV/atom
distance to the lowest polymorph of the same formula = 749 meV per atom
Fermi-level density of states = 0.856 states/eV per atom

***

Below is a relaxed structure of Th6In3Rh, with properties calculated at the PBE level.

Cell and atoms, written as POSCAR:
```
Th6In3Rh
1.0
8.459 0.573 0.586
0.390 8.469 0.586
0.390 0.398 8.480
Th In Rh
12 6 2
Cartesian
7.547 2.426 2.481
1.691 7.015 7.172
2.262 2.312 7.651
6.977 7.129 2.001
4.644 7.472 4.911
7.370 4.804 4.912
2.262 7.598 2.480
1.868 4.637 4.740
6.976 1.843 7.172
4.643 4.745 7.580
4.595 1.968 4.741
4.596 4.695 2.073
7.956 5.034 8.245
4.378 1.376 1.408
7.957 8.131 5.216
1.282 4.407 1.407
1.281 1.310 4.437
4.860 8.064 8.244
4.619 4.720 4.826
0.000 0.000 0.000
```

Properties
ΔE_f = -175 meV/atom
Fermi-level density of states = 1.329 states/eV per atom

***

Below is a relaxed structure of CaGa2Pt2, with properties calculated at the PBE level.

Cell and atoms, written as POSCAR:
```
CaGa2Pt2
1.0
4.153 0.000 0.000
0.000 4.153 0.000
2.076 2.076 5.465
Pt Ga Ca
2 2 1
Cartesian
2.076 4.153 2.732
4.153 2.076 2.732
2.076 2.076 1.275
4.153 4.153 4.190
0.000 0.000 0.000
```

Properties
ΔE_f = -812 meV/atom
Fermi-level density of states = 0.385 states/eV per atom

***

Below is a relaxed structure of KInOs2, with properties calculated at the PBE level.

Cell and atoms, written as POSCAR:
```
KInOs2
1.0
2.956 0.000 0.000
0.000 2.956 0.000
0.000 0.000 9.564
Os K In
2 1 1
Cartesian
1.478 1.478 2.088
0.000 0.000 0.611
1.478 1.478 7.357
0.000 0.000 4.290
```

Properties
ΔE_f = 541 meV/atom
Fermi-level density of states = 1.046 states/eV per atom

***

Below is a relaxed structure of MnCuSiTc2, with properties calculated at the PBE level.

Cell and atoms, written as POSCAR:
```
MnCuSiTc2
1.0
-2.189 3.740 -0.297
-1.391 -0.484 4.157
3.493 2.157 1.420
Mn Tc Si Cu
1 2 1 1
Cartesian
0.000 0.000 0.000
-1.094 1.870 -0.148
1.747 1.078 0.710
-0.043 2.706 2.640
-0.696 -0.242 2.079
```

Properties
formation energy from raw total energies = 122 kJ per mole of atoms
Fermi-level density of states = 1.237 states/eV per atom

***

Below is a relaxed structure of SmIn12Cu4, with properties calculated at the PBE level.

Cell and atoms, written as POSCAR:
```
SmIn12Cu4
1.0
-4.087 6.188 -3.426
-3.157 -1.605 7.361
7.868 2.045 0.799
In Sm Cu
12 1 4
Cartesian
2.280 5.017 2.070
1.319 6.223 -1.097
0.077 3.518 -0.234
2.204 1.503 2.307
-4.037 3.116 3.957
0.547 3.109 4.968
-1.580 5.125 2.427
3.751 1.647 4.988
-3.128 4.980 -0.254
-1.657 1.611 2.664
-0.696 0.404 5.831
4.661 3.511 0.777
0.000 0.000 0.000
3.934 1.022 0.400
-1.579 -0.803 3.680
-2.043 3.094 -1.713
0.312 3.314 2.367
```

Properties
ΔE_f = 27 meV/atom
Fermi-level density of states = 0.387 states/eV per atom

***

Below is a relaxed structure of C3SeS, with properties calculated at the PBE level.

Cell and atoms, written as POSCAR:
```
C3SeS
1.0
-2.912 -1.936 1.750
2.577 -1.723 2.383
-0.409 2.928 2.560
Se C S
1 3 1
Cartesian
0.000 0.000 0.000
-0.204 1.464 1.280
-1.456 -0.968 0.875
1.289 -0.862 1.192
-0.372 -0.366 3.346
```

Properties
formation energy from raw total energies = 307 kJ per mole of atoms
distance to the lowest polymorph of the same formula = 481 meV per atom
Fermi-level density of states = 0.897 states/eV per atom

***

Below is a relaxed structure of CoSiW2, with properties calculated at the PBE level.

Cell and atoms, written as POSCAR:
```
CoSiW2
1.0
2.673 0.000 0.000
0.000 2.965 0.000
0.000 0.000 6.876
W Co Si
2 1 1
Cartesian
1.336 1.482 1.912
0.000 0.000 6.685
0.000 0.000 3.686
1.336 1.482 4.907
```

Properties
formation energy from raw total energies = 0 kJ per mole of atoms
Fermi-level density of states = 0.913 states/eV per atom

***

Below is a relaxed structure of BaTiHg, with properties calculated at the PBE level.

Cell and atoms, written as POSCAR:
```
BaTiHg
1.0
4.367 -0.353 0.211
0.934 10.891 -1.399
0.001 2.261 3.775
Ba Ti Hg
2 2 2
Cartesian
2.385 2.397 2.111
0.514 6.580 2.168
0.829 10.589 2.329
3.003 9.279 0.551
2.832 6.494 -0.345
1.001 11.113 -0.549
```

Properties
ΔE_f = 47 meV/atom
distance to the lowest polymorph of the same formula = 15 meV per atom
Fermi-level density of states = 1.236 states/eV per atom

***

Below is a relaxed structure of Rb2BiAsBr6, with properties calculated at the PBE level.

Cell and atoms, written as POSCAR:
```
Rb2BiAsBr6
1.0
8.049 0.000 0.000
0.000 8.049 0.000
4.025 4.025 5.761
Br As Rb Bi
6 1 2 1
Cartesian
4.025 4.025 2.811
5.975 5.975 0.000
5.975 2.075 0.000
8.049 8.049 2.950
2.075 2.075 0.000
2.075 5.975 0.000
4.025 4.025 0.000
4.025 8.049 2.881
8.049 4.025 2.881
0.000 0.000 0.000
```

Properties
formation energy from raw total energies = -87 kJ per mole of atoms
Fermi-level density of states = 0.399 states/eV per atom

***

Below is a relaxed structure of CaTeC, with properties calculated at the PBE level.

Cell and atoms, written as POSCAR:
```
CaTeC
1.0
8.687 0.000 0.000
0.000 5.348 0.000
-1.710 0.000 6.507
C Te Ca
4 4 4
Cartesian
3.488 0.635 3.254
3.488 4.713 3.254
4.343 2.039 0.000
4.343 3.309 0.000
1.001 0.000 0.954
5.975 0.000 5.553
6.830 2.674 2.299
0.146 2.674 4.208
2.365 2.674 1.823
1.510 0.000 5.076
5.466 0.000 1.431
4.611 2.674 4.684
```

Properties
formation energy from raw total energies = -40 kJ per mole of atoms
distance to the lowest polymorph of the same formula = 36 meV per atom

***

Below is a relaxed structure of TlW2Au, with properties calculated at the PBE level.

Cell and atoms, written as POSCAR:
```
TlW2Au
1.0
-1.292 4.853 0.618
-4.134 0.241 2.909
4.409 -2.401 0.634
Tl W Au
1 2 1
Cartesian
0.202 2.500 1.508
0.000 0.000 0.000
-1.219 0.194 2.654
-2.713 2.547 1.764
```

Properties
ΔE_f = 825 meV/atom
distance to the lowest polymorph of the same formula = 316 meV per atom
Fermi-level density of states = 0.729 states/eV per atom

***

Below is a relaxed structure of NaPdPbO4, with properties calculated at the PBE level.

Cell and atoms, written as POSCAR:
```
NaPdPbO4
1.0
6.778 0.000 0.000
-3.389 5.592 -0.570
0.000 -3.526 5.798
O Pb Pd Na
8 2 2 2
Cartesian
3.389 0.276 3.752
1.879 -0.716 1.550
3.389 1.695 1.417
1.511 2.783 3.678
0.000 0.372 3.810
4.900 -0.716 1.550
0.000 1.791 1.476
-1.511 2.783 3.678
3.389 0.000 0.000
3.389 -1.763 2.899
1.695 1.033 2.614
-1.695 1.033 2.614
0.000 -1.731 4.904
3.389 3.798 0.324
```

Properties
formation energy from raw total energies = -84 kJ per mole of atoms
Fermi-level density of states = 0.391 states/eV per atom

***

Below is a relaxed structure of TbPr3C, with properties calculated at the PBE level.

Cell and atoms, written as POSCAR:
```
TbPr3C
1.0
-0.573 -0.040 -5.248
4.776 -2.193 -0.505
-2.176 -4.802 0.275
Tb Pr C
1 3 1
Cartesian
1.013 -3.518 -2.739
-0.287 -0.020 -2.624
2.388 -1.097 -0.252
-1.088 -2.401 0.137
0.000 0.000 0.000
```

Properties
ΔE_f = 126 meV/atom
Fermi-level density of states = 1.341 states/eV per atom

***

Below is a relaxed structure of Y3Sb, with properties calculated at the PBE level.

Cell and atoms, written as POSCAR:
```
Y3Sb
1.0
-2.178 12.142 -1.477
-4.920 0.504 11.397
5.588 1.289 2.355
Y Sb
24 8
Cartesian
0.577 12.343 7.606
-1.688 5.030 9.688
-0.591 1.919 7.921
-5.529 9.114 8.408
-2.841 8.559 10.808
-1.323 11.923 4.184
-2.323 10.500 7.651
3.236 1.385 3.267
-1.380 3.576 1.592
2.288 11.450 4.349
3.098 2.787 6.855
-1.610 7.187 0.477
0.625 3.391 4.546
-2.319 13.109 10.031
0.367 8.949 2.668
-3.492 2.584 11.487
1.601 3.730 10.203
1.736 5.469 1.638
-0.444 10.791 -0.234
1.598 6.871 5.226
-2.183 4.887 6.048
-2.488 8.319 4.895
-5.084 5.553 9.614
0.055 7.793 8.383
-0.731 3.936 12.459
-0.850 6.061 3.418
0.203 9.654 5.837
0.645 4.824 7.432
-3.017 7.330 7.864
2.453 10.744 1.179
-4.836 12.283 8.194
0.095 0.907 2.720
```

Properties
formation energy from raw total energies = -60 kJ per mole of atoms
distance to the lowest polymorph of the same formula = 0 meV per atom
Fermi-level density of states = 1.386 states/eV per atom

***

Below is a relaxed structure of PrZnRh, with properties calculated at the PBE level.

Cell and atoms, written as POSCAR:
```
PrZnRh
1.0
3.470 0.000 0.000
0.000 3.470 0.000
-1.735 -1.735 5.081
Rh Pr Zn
1 1 1
Cartesian
0.000 0.000 3.145
1.735 1.735 1.248
1.735 1.735 4.244
```

Properties
ΔE_f = -402 meV/atom
Fermi-level density of states = 0.992 states/eV per atom

***

Below is a relaxed structure of Be2TlCl, with properties calculated at the PBE level.

Cell and atoms, written as POSCAR:
```
Be2TlCl
1.0
-0.588 1.971 6.818
3.862 0.039 5.983
-0.775 1.228 -6.972
Cl Tl Be
1 1 2
Cartesian
1.637 1.005 6.400
0.137 2.102 3.123
0.000 0.000 0.000
2.362 1.136 2.706
```

Properties
formation energy from raw total energies = 70 kJ per mole of atoms
distance to the lowest polymorph of the same formula = 565 meV per atom
Fermi-level density of states = 0.560 states/eV per atom

***

Below is a relaxed structure of Ir3Au, with properties calculated at the PBE level.

Cell and atoms, written as POSCAR:
```
Ir3Au
1.0
-0.793 3.226 -3.492
-3.983 -2.622 0.700
-0.881 1.845 1.905
Ir Au
3 1
Cartesian
-2.432 -0.388 1.302
-0.837 2.536 -0.794
-2.388 0.302 -1.396
0.000 0.000 0.000
```

Properties
ΔE_f = 357 meV/atom
Fermi-level density of states = 1.560 states/eV per atom

***

Below is a relaxed structure of CsNa2InSn, with properties calculated at the PBE level.

Cell and atoms, written as POSCAR:
```
CsNa2InSn
1.0
6.053 0.000 0.000
0.000 6.053 0.000
0.000 0.000 5.839
Na Cs In Sn
2 1 1 1
Cartesian
0.000 3.027 0.000
3.027 0.000 0.000
3.027 3.027 2.919
0.000 0.000 0.000
0.000 0.000 2.919
```

Properties
ΔE_f = -6 meV/atom
distance to the lowest polymorph of the same formula = 48 meV per atom
Fermi-level density of states = 0.455 states/eV per atom

***

Below is a relaxed structure of Ba2TlGa3Pd4, with properties calculated at the PBE level.

Cell and atoms, written as POSCAR:
```
Ba2TlGa3Pd4
1.0
4.623 0.000 0.000
0.000 4.623 0.000
0.000 0.000 10.746
Ba Pd Ga Tl
2 4 3 1
Cartesian
0.000 2.312 8.185
2.312 0.000 2.561
2.312 2.312 0.000
0.000 2.312 3.792
0.000 0.000 0.000
2.312 0.000 6.955
0.000 2.312 1.184
2.312 0.000 9.563
0.000 0.000 5.373
2.312 2.312 5.373
```

Properties
ΔE_f = -604 meV/atom
Fermi-level density of states = 0.452 states/eV per atom